# 1
A geometry-optimized MoOsCl structure. Source: Alexandria via LeMat-Bulk, functional GGA-PBE.

a = 4.2133 Å, b = 4.2133 Å, c = 2.9173 Å
α = 90.00°, β = 90.00°, γ = 120.00°
Last column: nearest neighbours and their distance in Å.
Fractional positions:
Os 0.3333 0.6667 0.7235  3 Cl 2.62, 6 Mo 2.83-2.84, 2 Os 2.92
Cl 0.0000 0.0000 0.0554  3 Mo 2.48, 3 Os 2.62
Mo 0.6667 0.3333 0.2212  3 Cl 2.48

Computed properties:
Formation energy (no corrections) ... 0.71 eV/atom
Offset from the most stable computed form ... 463 meV/atom
Total moment ... 0.00 μB/f.u.


# 2
A geometry-optimized MoOsCl2 structure. Source: Alexandria via LeMat-Bulk, functional GGA-PBE.

a = 2.9544 Å, b = 2.9544 Å, c = 11.4900 Å
α = 90.00°, β = 90.00°, γ = 122.80°
Last column: nearest neighbours and their distance in Å.
Fractional positions:
Cl 0.0000 0.0000 0.0787  2 Mo 2.42
Cl 0.0000 0.0000 0.4213  2 Mo 2.42
Mo 0.5000 0.5000 0.2500  4 Cl 2.42
Os 0.5000 0.5000 0.7500  6 Os 2.83-2.95

Computed properties:
Formation energy (no corrections) ... 0.86 eV/atom
Offset from the most stable computed form ... 961 meV/atom
Total moment ... 2.51 μB/f.u.


# 3
A geometry-optimized MoOsCl2 structure. Source: Alexandria via LeMat-Bulk, functional GGA-PBE.

a = 4.5257 Å, b = 4.5257 Å, c = 4.5257 Å
α = 60.00°, β = 60.00°, γ = 60.00°
Last column: nearest neighbours and their distance in Å.
Fractional positions:
Mo 0.5000 0.5000 0.5000  4 Cl 2.77, 4 Os 2.77
Os 0.7500 0.7500 0.7500  4 Cl 2.77, 4 Mo 2.77
Cl 0.0000 0.0000 0.0000  4 Cl 2.77, 4 Os 2.77
Cl 0.2500 0.2500 0.2500  4 Mo 2.77, 4 Cl 2.77

Computed properties:
Formation energy (no corrections) ... 1.02 eV/atom
Offset from the most stable computed form ... 1126 meV/atom
Total moment ... 0.38 μB/f.u.


# 4
A geometry-optimized Mo2OsCl structure. Source: Alexandria via LeMat-Bulk, functional GGA-PBE.

a = 5.5918 Å, b = 5.5918 Å, c = 6.7092 Å
α = 65.37°, β = 65.37°, γ = 90.00°
Last column: nearest neighbours and their distance in Å.
Fractional positions:
Os 0.7500 0.2500 0.5000  4 Mo 2.42
Os 0.0000 0.0000 0.0000  4 Mo 2.42
Mo 0.1309 0.6250 0.2500  2 Cl 2.38, 2 Os 2.42
Mo 0.3750 0.3809 0.7500  2 Cl 2.38, 2 Os 2.42
Mo 0.8750 0.8691 0.7500  2 Cl 2.38, 2 Os 2.42
Mo 0.6191 0.1250 0.2500  2 Cl 2.38, 2 Os 2.42
Cl 0.5000 0.5000 0.0000  4 Mo 2.38
Cl 0.2500 0.7500 0.5000  4 Mo 2.38

Computed properties:
Formation energy (no corrections) ... 0.99 eV/atom
Offset from the most stable computed form ... 741 meV/atom
Total moment ... 0.00 μB/f.u.


# 5
A geometry-optimized Mo2OsCl structure. Source: Alexandria via LeMat-Bulk, functional GGA-PBE.

a = 5.0609 Å, b = 5.0609 Å, c = 5.0609 Å
α = 135.97°, β = 135.97°, γ = 64.02°
Last column: nearest neighbours and their distance in Å.
Fractional positions:
Mo 0.0000 0.0000 0.0000  4 Mo 2.68, 4 Os 2.86, 4 Cl 2.86
Mo 0.5000 0.5000 0.0000  4 Mo 2.68, 4 Cl 2.86, 4 Os 2.86
Cl 0.7500 0.2500 0.5000  4 Os 2.68, 8 Mo 2.86
Os 0.2500 0.7500 0.5000  4 Cl 2.68, 8 Mo 2.86

Computed properties:
Formation energy (no corrections) ... 1.10 eV/atom
Offset from the most stable computed form ... 857 meV/atom
Total moment ... 0.00 μB/f.u.


# 6
A geometry-optimized Mo2OsCl structure. Source: Alexandria via LeMat-Bulk, functional GGA-PBE.

a = 2.8770 Å, b = 2.8770 Å, c = 7.9415 Å
α = 90.00°, β = 90.00°, γ = 90.00°
Last column: nearest neighbours and their distance in Å.
Fractional positions:
Mo 0.5000 0.5000 0.2581  4 Os 2.61, 8 Mo 2.88-2.92
Mo 0.0000 0.0000 0.9947  4 Cl 2.64, 8 Mo 2.88-2.92
Cl 0.5000 0.5000 0.7838  4 Mo 2.64, 4 Cl 2.88
Os 0.0000 0.0000 0.4634  4 Mo 2.61, 4 Os 2.88

Computed properties:
Formation energy (no corrections) ... 0.43 eV/atom
Offset from the most stable computed form ... 183 meV/atom
Total moment ... 0.00 μB/f.u.


# 7
A geometry-optimized Mo2OsCl structure. Source: Alexandria via LeMat-Bulk, functional GGA-PBE.

a = 8.7644 Å, b = 8.7644 Å, c = 8.7644 Å
α = 18.80°, β = 18.80°, γ = 18.80°
Last column: nearest neighbours and their distance in Å.
Fractional positions:
Mo 0.4989 0.4989 0.4989  3 Cl 2.69, 3 Os 2.74, 6 Mo 2.86
Mo 0.0011 0.0011 0.0011  3 Cl 2.69, 3 Os 2.74, 6 Mo 2.86
Os 0.2500 0.2500 0.2500  6 Mo 2.74, 6 Os 2.86
Cl 0.7500 0.7500 0.7500  6 Mo 2.69, 6 Cl 2.86

Computed properties:
Formation energy (no corrections) ... 0.25 eV/atom
Offset from the most stable computed form ... 0 meV/atom
Total moment ... 0.00 μB/f.u.


# 8
A geometry-optimized Mo2OsCl structure. Source: Alexandria via LeMat-Bulk, functional GGA-PBE.

a = 5.3465 Å, b = 5.3465 Å, c = 5.3465 Å
α = 148.73°, β = 129.98°, γ = 60.18°
Last column: nearest neighbours and their distance in Å.
Fractional positions:
Os 0.4896 0.4896 0.0000  2 Cl 2.69, 6 Mo 2.70-2.72, 2 Os 2.88
Cl 0.2442 0.7442 0.5000  6 Mo 2.47-2.68, 2 Os 2.69
Mo 0.7385 0.2385 0.5000  4 Cl 2.68, 2 Os 2.72, 4 Mo 2.88-2.99
Mo 0.0277 0.0277 0.0000  2 Cl 2.47, 4 Os 2.70

Computed properties:
Formation energy (no corrections) ... 0.56 eV/atom
Offset from the most stable computed form ... 310 meV/atom
Total moment ... 0.00 μB/f.u.


# 9
A geometry-optimized MoOsCl2 structure. Source: Alexandria via LeMat-Bulk, functional GGA-PBE.

a = 5.3096 Å, b = 5.3096 Å, c = 6.5661 Å
α = 66.15°, β = 66.15°, γ = 90.00°
Last column: nearest neighbours and their distance in Å.
Fractional positions:
Mo 0.2500 0.7500 0.5000  4 Cl 2.32
Mo 0.5000 0.5000 0.0000  4 Cl 2.32
Os 0.0000 0.0000 0.0000  4 Cl 2.30
Os 0.7500 0.2500 0.5000  4 Cl 2.30
Cl 0.8750 0.8777 0.7500  2 Os 2.30, 2 Mo 2.32
Cl 0.6277 0.1250 0.2500  2 Os 2.30, 2 Mo 2.32
Cl 0.3750 0.3723 0.7500  2 Os 2.30, 2 Mo 2.32
Cl 0.1223 0.6250 0.2500  2 Os 2.30, 2 Mo 2.32

Computed properties:
Formation energy (no corrections) ... 1.29 eV/atom
Offset from the most stable computed form ... 1394 meV/atom
Total moment ... 0.00 μB/f.u.


# 10
A geometry-optimized Mo2OsCl structure. Source: Alexandria via LeMat-Bulk, functional GGA-PBE.

a = 3.9886 Å, b = 3.9770 Å, c = 3.9770 Å
α = 90.00°, β = 90.00°, γ = 90.00°
Last column: nearest neighbours and their distance in Å.
Fractional positions:
Mo 0.0000 0.0000 0.0000  4 Mo 2.81, 4 Cl 2.82, 4 Os 2.82
Mo 0.0000 0.5000 0.5000  4 Mo 2.81, 4 Os 2.82, 4 Cl 2.82
Cl 0.5000 0.0000 0.5000  4 Os 2.81, 8 Mo 2.82
Os 0.5000 0.5000 0.0000  4 Cl 2.81, 8 Mo 2.82

Computed properties:
Formation energy (no corrections) ... 1.32 eV/atom
Offset from the most stable computed form ... 1074 meV/atom
Total moment ... 0.00 μB/f.u.


# 11
A geometry-optimized MoOsCl2 structure. Source: Alexandria via LeMat-Bulk, functional GGA-PBE.

a = 2.9452 Å, b = 2.9452 Å, c = 8.7966 Å
α = 90.00°, β = 90.00°, γ = 90.00°
Last column: nearest neighbours and their distance in Å.
Fractional positions:
Os 0.5000 0.5000 0.7164  4 Mo 2.66, 4 Cl 2.74, 4 Os 2.95
Cl 0.5000 0.5000 0.3369  4 Mo 2.68, 4 Cl 2.95
Cl 0.0000 0.0000 0.9190  4 Os 2.74, 4 Cl 2.95
Mo 0.0000 0.0000 0.5278  4 Os 2.66, 4 Cl 2.68, 4 Mo 2.95

Computed properties:
Formation energy (no corrections) ... 0.01 eV/atom
Offset from the most stable computed form ... 118 meV/atom
Total moment ... 0.00 μB/f.u.


# 12
A geometry-optimized Mo2OsCl structure. Source: Alexandria via LeMat-Bulk, functional GGA-PBE.

a = 5.3123 Å, b = 5.3123 Å, c = 5.3123 Å
α = 139.32°, β = 139.32°, γ = 58.88°
Last column: nearest neighbours and their distance in Å.
Fractional positions:
Cl 0.7500 0.2500 0.5000  4 Mo 2.61
Mo 0.0000 0.0000 0.0000  4 Os 2.61
Mo 0.2500 0.7500 0.5000  4 Cl 2.61
Os 0.5000 0.5000 0.0000  4 Mo 2.61

Computed properties:
Formation energy (no corrections) ... 1.08 eV/atom
Offset from the most stable computed form ... 833 meV/atom
Total moment ... 0.27 μB/f.u.